Record 1
Computed, not measured: AgPd2W after structural relaxation at the GGA-PBE level of DFT.

```
AgPd2W
1.0
3.1779 -0.0052 3.1672
2.6724 3.5688 0.5023
-0.4255 2.6310 3.6093
Pd W Ag
2 1 1
Cartesian
4.0686 4.6459 5.4590
1.3562 1.5486 1.8197
2.7124 3.0973 3.6394
0.0000 0.0000 0.0000
```

Values from the calculation:
energy above the lowest structure with this stoichiometry = 0.360 eV per atom
symmetry = Fm-3m, No. 225

***

Record 2
Computed, not measured: Na2BSb2 after structural relaxation at the GGA-PBE level of DFT.

```
Na2BSb2
1.0
-2.2530 3.0905 1.6700
-0.6652 -2.3234 3.4022
5.3714 3.4936 5.9956
Na Sb B
2 2 1
Cartesian
-0.2359 0.9405 3.1557
2.6891 3.3202 7.9123
0.8297 3.4838 5.1009
1.6235 0.7769 5.9670
0.0000 0.0000 0.0000
```

Values from the calculation:
formation energy from raw total energies = 0.82 eV/atom
energy above the lowest structure with this stoichiometry = 0.012 eV per atom
symmetry = I4/mmm, No. 139

***

Record 3
Computed, not measured: Ga2Cu2Ag after structural relaxation at the GGA-PBE level of DFT.

```
Ga2Cu2Ag
1.0
-2.6736 -2.7502 -6.3068
5.7532 -4.6046 -0.4309
-1.4169 -1.9043 1.4311
Cu Ga Ag
4 4 2
Cartesian
1.8425 -2.0748 -0.9365
1.2371 -5.2801 -5.8011
-0.9589 -2.2777 -3.9802
4.0384 -5.0772 -2.7575
-0.5737 -2.6511 -1.4117
2.7059 -4.5388 -0.6765
2.2363 -6.6081 -3.8949
-1.0433 -4.7203 -4.6301
0.0000 0.0000 0.0000
1.5398 -3.6774 -3.3688
```

Values from the calculation:
energy above the lowest structure with this stoichiometry = 0.013 eV per atom
symmetry = P4/mbm, No. 127

***

Record 4
Computed, not measured: Sc4HgTe after structural relaxation at the GGA-PBE level of DFT.

```
Sc4HgTe
1.0
0.0000 4.1662 4.1662
4.1662 0.0000 4.1662
4.1662 4.1662 0.0000
Sc Te Hg
4 1 1
Cartesian
5.2097 3.1227 5.2097
5.2097 5.2097 3.1227
3.1227 3.1227 3.1227
3.1227 5.2097 5.2097
6.2493 6.2493 6.2493
0.0000 0.0000 0.0000
```

Values from the calculation:
formation energy from raw total energies = 0.05 eV/atom
symmetry = F-43m, No. 216

***

Record 5
Computed, not measured: CsMnRe2S8 after structural relaxation at the GGA-PBE level of DFT.

```
CsMnRe2S8
1.0
6.1853 0.0000 0.0000
3.0927 5.3566 0.0000
3.0927 1.7855 9.3382
S Re Mn Cs
8 2 1 1
Cartesian
9.2780 5.3566 5.1591
7.4130 1.6681 8.0125
3.9235 3.4594 8.0125
5.1512 1.5564 1.3257
8.4472 3.6828 1.3257
7.2195 5.5858 8.0125
3.0927 1.7855 4.1791
4.9577 5.4741 1.3257
3.0927 1.7855 2.0096
9.2780 5.3566 7.3285
0.0000 0.0000 0.0000
6.1853 3.5711 4.6691
```

Values from the calculation:
formation energy from raw total energies = -0.37 eV/atom
symmetry = R-3, No. 148

***

Record 6
Computed, not measured: GdPuCuRu after structural relaxation at the GGA-PBE level of DFT.

```
GdPuCuRu
1.0
4.8727 0.0000 0.0000
2.4363 4.2199 0.0000
2.4363 1.4066 3.9785
Gd Ru Cu Pu
1 1 1 1
Cartesian
2.4363 1.4066 0.9946
4.8727 2.8132 1.9893
0.0000 0.0000 0.0000
7.3090 4.2199 2.9839
```

Values from the calculation:
symmetry = F-43m, No. 216
uncorrected energy = -10.56 eV per atom

***

Record 7
Computed, not measured: ZrIrRu2 after structural relaxation at the GGA-PBE level of DFT.

```
ZrIrRu2
1.0
-0.5123 -3.4547 -3.4266
4.1214 -0.3990 -2.6065
-0.8515 -0.0009 4.8181
Ru Zr Ir
2 1 1
Cartesian
0.2202 -2.6910 -0.8121
3.6090 -3.8536 -6.0330
1.8046 -1.9269 -3.0166
2.5375 -1.1636 -0.4029
```

Values from the calculation:
energy above the lowest structure with this stoichiometry = 0.072 eV per atom
symmetry = I-4m2, No. 119

***

Record 8
Computed, not measured: TlOsW2 after structural relaxation at the GGA-PBE level of DFT.

```
TlOsW2
1.0
-0.1512 -3.1598 3.3154
2.3574 -3.9042 -0.4465
3.6888 -0.7605 2.6103
W Os Tl
2 1 1
Cartesian
4.4213 -5.8684 4.1094
0.0000 0.0000 0.0000
2.9475 -3.9123 2.7396
1.4738 -1.9561 1.3698
```

Values from the calculation:
energy above the lowest structure with this stoichiometry = 0.311 eV per atom
symmetry = F-43m, No. 216

***

Record 9
Computed, not measured: ZnTe3Pb after structural relaxation at the GGA-PBE level of DFT.

```
ZnTe3Pb
1.0
5.3615 0.0000 0.0000
0.0000 5.3615 0.0000
0.0000 0.0000 5.3615
Zn Te Pb
1 3 1
Cartesian
0.0000 0.0000 0.0000
2.6807 0.0000 0.0000
0.0000 0.0000 2.6807
0.0000 2.6807 0.0000
2.6807 2.6807 2.6807
```

Values from the calculation:
formation energy from raw total energies = 0.13 eV/atom
symmetry = Pm-3m, No. 221

***

Record 10
Computed, not measured: MnCoTe3 after structural relaxation at the GGA-PBE level of DFT.

```
MnCoTe3
1.0
-3.4383 -2.9333 1.9932
3.4281 -3.4601 0.8216
0.9083 1.9552 4.4442
Mn Te Co
1 3 1
Cartesian
0.0000 0.0000 0.0000
0.4541 0.9776 2.2221
-1.7192 -1.4666 0.9966
1.7140 -1.7300 0.4108
0.4490 -2.2191 3.6295
```

Values from the calculation:
formation energy from raw total energies = 1.05 eV/atom
energy above the lowest structure with this stoichiometry = 1.079 eV per atom
symmetry = Pm-3m, No. 221

***

Record 11
Computed, not measured: TiPIr2Br after structural relaxation at the GGA-PBE level of DFT.

```
TiPIr2Br
1.0
4.7050 0.0000 0.0000
0.0000 4.6752 0.0000
0.0000 0.0000 4.7050
Ir Ti Br P
2 1 1 1
Cartesian
0.0000 0.0000 2.3525
2.3525 0.0000 0.0000
0.0000 0.0000 0.0000
2.3525 2.3376 2.3525
0.0000 2.3376 0.0000
```

Values from the calculation:
formation energy from raw total energies = 1.19 eV/atom
symmetry = P4/mmm, No. 123

***

Record 12
Computed, not measured: Ba2Sc2Be after structural relaxation at the GGA-PBE level of DFT.

```
Ba2Sc2Be
1.0
4.4010 0.0000 0.0000
0.0000 4.4010 0.0000
2.2005 2.2005 8.7024
Be Sc Ba
1 2 2
Cartesian
0.0000 0.0000 0.0000
4.4010 4.4010 7.3839
2.2005 2.2005 1.3185
2.2005 4.4010 4.3512
4.4010 2.2005 4.3512
```

Values from the calculation:
energy above the lowest structure with this stoichiometry = 0.673 eV per atom
symmetry = I4/mmm, No. 139